The following is a GGA-PBE calculation of a relaxed Tb3Er2Hg6 crystal, from Alexandria via LeMat-Bulk.

Output
- Space-group type: I4/mmm
- Total DFT energy (no corrections): -2.361 eV per atom
- ΔH_f (0 K): -10.00 kJ per mole of atoms

Lattice parameters (Å, degrees): 13.6721 13.6721 13.6721 158.55 158.55 30.52
With the nearest neighbours (Å) after each atom.
Fractional coordinates of all 11 atoms:
Tb (0.0000, 0.0000, 0.0000)  8 Hg 3.09
Tb (0.1412, 0.1412, 0.0000)  5 Hg 3.10-3.22
Tb (0.8588, 0.8588, 0.0000)  5 Hg 3.10-3.22
Er (0.3739, 0.3739, 0.0000)  5 Hg 2.99-3.04
Er (0.6261, 0.6261, 0.0000)  5 Hg 2.99-3.04
Hg (0.0664, 0.5664, 0.5000)  2 Er 2.99, 4 Tb 3.09-3.22
Hg (0.2587, 0.2587, 0.0000)  1 Er 3.04, 1 Tb 3.10
Hg (0.4336, 0.9336, 0.5000)  2 Er 2.99, 4 Tb 3.09-3.22
Hg (0.5664, 0.0664, 0.5000)  2 Er 2.99, 4 Tb 3.09-3.22
Hg (0.7413, 0.7413, 0.0000)  1 Er 3.04, 1 Tb 3.10
Hg (0.9336, 0.4336, 0.5000)  2 Er 2.99, 4 Tb 3.09-3.22